The following is a PBE calculation of a relaxed structure of YRuRh2C, from Alexandria via LeMat-Bulk.

Structure (POSCAR):
```
YRuRh2C
1.0
4.198 0.000 0.000
0.000 4.198 0.000
0.000 0.000 4.147
Y Ru Rh C
1 1 2 1
Cartesian
0.000 0.000 0.000
2.099 2.099 0.000
0.000 2.099 2.074
2.099 0.000 2.074
2.099 2.099 2.074
```

## Properties
**E**: -8.316 eV/atom
**Energy of formation from the pure elements**: -383 meV/atom
**Space group**: P4/mmm
**V**: 14.61 Å³/atom
**D(E_F)**: 0.84 states/eV per atom

---

The following is a PBE calculation of a relaxed structure of Ba2AsHW, from Alexandria via LeMat-Bulk.

Structure (POSCAR):
```
Ba2AsHW
1.0
6.440 0.000 0.000
0.000 6.440 0.000
0.000 0.000 3.650
Ba As H W
2 1 1 1
Cartesian
0.000 3.220 0.000
3.220 0.000 0.000
0.000 0.000 0.000
0.000 0.000 1.825
3.220 3.220 1.825
```

## Properties
**E**: -4.066 eV/atom
**Space group**: P4/mmm
**V**: 30.28 Å³/atom
**D(E_F)**: 1.08 states/eV per atom

---

The following is a PBE calculation of a relaxed structure of Be17CoNi, from Alexandria via LeMat-Bulk.

Structure (POSCAR):
```
Be17CoNi
1.0
3.545 2.047 3.564
-3.545 2.047 3.564
0.000 -4.094 3.564
Be Co Ni
17 1 1
Cartesian
1.772 1.023 7.129
0.000 0.000 0.587
0.000 -2.036 3.456
-1.102 -2.171 5.228
-1.763 1.018 3.456
-2.432 0.131 5.228
0.000 0.000 2.727
-1.711 -0.988 6.904
1.102 -2.171 5.228
-1.329 2.040 5.228
-1.772 1.023 7.129
0.000 -2.046 7.129
1.763 1.018 3.456
1.711 -0.988 6.904
0.000 1.975 6.904
2.432 0.131 5.228
1.329 2.040 5.228
0.000 0.000 5.074
0.000 0.000 8.819
```

## Properties
**E**: -4.093 eV/atom
**Energy of formation from the pure elements**: -81 meV/atom
**Space group**: R3m
**V**: 8.17 Å³/atom
**D(E_F)**: 0.23 states/eV per atom

---

The following is a PBE calculation of a relaxed structure of GdZrTcAg, from Alexandria via LeMat-Bulk.

Structure (POSCAR):
```
GdZrTcAg
1.0
0.000 3.450 3.450
3.450 0.000 3.450
3.450 3.450 0.000
Gd Zr Tc Ag
1 1 1 1
Cartesian
0.000 0.000 0.000
3.450 3.450 3.450
5.174 5.174 5.174
1.725 1.725 1.725
```

## Properties
**E**: -9.056 eV/atom
**Energy of formation from the pure elements**: -95 meV/atom
**Space group**: F-43m
**V**: 20.53 Å³/atom
**D(E_F)**: 0.65 states/eV per atom